DFT (GGA-PBE) results for a relaxed structure of SiIrCl.

Lattice parameters (Å, degrees): 5.9598 5.9598 5.9598 90.00 90.00 90.00
Closest atoms and distances in Å follow each position.
Space group F-43m (No. 216)
Asymmetric unit:
Si  0.0000  0.0000  0.0000  4 Cl 2.58, 4 Ir 2.58
Ir  0.2500  0.2500  0.2500  4 Si 2.58
Cl  0.2500  0.2500  0.7500  4 Si 2.58

Computed properties:
E_form (uncorrected)   694 meV per atom
E above lowest polymorph   1475.7 meV per atom

***

DFT (GGA-PBE) results for a relaxed structure of SiIrCl2.

Lattice parameters (Å, degrees): 3.4661 5.4259 8.9131 90.00 90.00 90.00
Closest atoms and distances in Å follow each position.
Space group Cmm2 (No. 35)
Asymmetric unit:
Si  0.0000  0.0000  0.0000  2 Ir 2.27
Ir  0.0000  0.5000  0.1647  2 Si 2.27
Cl  0.0000  0.0000  0.3740  2 Ir 2.55
Cl  0.0000  0.5000  0.7896  2 Si 2.55

Computed properties:
E_form (uncorrected)   44 meV per atom
E above lowest polymorph   442.7 meV per atom

***

DFT (GGA-PBE) results for a relaxed structure of SiIrCl2.

Lattice parameters (Å, degrees): 3.0156 3.0156 8.8136 90.00 90.00 90.00
Closest atoms and distances in Å follow each position.
Space group P4mm (No. 99)
Asymmetric unit:
Si  0.0000  0.0000  0.0000  4 Ir 2.50, 4 Cl 2.78
Ir  0.5000  0.5000  0.8512  4 Si 2.50
Cl  0.0000  0.0000  0.6430  4 Ir 2.81, 4 Cl 3.02, 1 Si 3.15
Cl  0.5000  0.5000  0.2029  4 Si 2.78, 4 Cl 3.02, 1 Ir 3.10

Computed properties:
E_form (uncorrected)   127 meV per atom
E above lowest polymorph   525.5 meV per atom